Density functional theory data (PBE-GGA) for an optimized crystal structure of CsPa4TlN8. Values from VASP.

Cell and atoms, written as Quantum ESPRESSO input:
```
&SYSTEM
  ibrav = 0, nat = 14, ntyp = 4
/
ATOMIC_SPECIES
N 14.01 N.upf
Pa 231.04 Pa.upf
Cs 132.91 Cs.upf
Tl 204.38 Tl.upf
CELL_PARAMETERS angstrom
-4.8368 -5.2468 -1.3008
1.9339 -5.8464 -3.8334
0.5784 -6.3003 3.0377
ATOMIC_POSITIONS crystal
N 0.2347 0.8360 0.6947
N 0.2405 0.7412 0.2770
N 0.7412 0.2405 0.2770
N 0.7522 0.7522 0.7434
N 0.2230 0.2230 0.3311
N 0.2347 0.2347 0.6947
N 0.7412 0.7412 0.2770
N 0.8360 0.2347 0.6947
Pa 0.0055 0.0055 0.5033
Pa 0.4857 0.0055 0.5033
Pa 0.6196 0.6196 0.1411
Pa 0.0055 0.4857 0.5033
Cs 0.3809 0.3809 0.8574
Tl 0.9993 0.9993 0.0021
```

Output
Total magnetic moment   0.000 μB per cell
VASP energy   -119.555 eV per formula unit
Uncorrected formation energy   -839 meV/atom
Crystal system   trigonal

=====

Density functional theory data (PBE-GGA) for an optimized crystal structure of Tl3TcPb. Values from VASP.

Cell and atoms, written as Quantum ESPRESSO input:
```
&SYSTEM
  ibrav = 0, nat = 5, ntyp = 3
/
ATOMIC_SPECIES
Tl 204.38 Tl.upf
Pb 207.20 Pb.upf
Tc 98.00 Tc.upf
CELL_PARAMETERS angstrom
-1.6215 -5.4778 1.4588
5.6553 -1.6676 0.0241
0.3902 1.4058 5.7127
ATOMIC_POSITIONS crystal
Tl 0.0000 0.0000 0.5000
Tl 0.0000 0.5000 0.0000
Tl 0.5000 0.0000 0.0000
Pb 0.0000 0.0000 0.0000
Tc 0.5000 0.5000 0.5000
```

Output
Total magnetic moment   4.048 μB per cell
VASP energy   -14.291 eV per formula unit
Energy of formation from the pure elements   1376 meV/atom
Crystal system   cubic

=====

Density functional theory data (PBE-GGA) for an optimized crystal structure of NaErAu2. Values from VASP.

Cell and atoms, written as Quantum ESPRESSO input:
```
&SYSTEM
  ibrav = 0, nat = 4, ntyp = 3
/
ATOMIC_SPECIES
Au 196.97 Au.upf
Er 167.26 Er.upf
Na 22.99 Na.upf
CELL_PARAMETERS angstrom
3.8772 0.0000 0.0000
1.9386 3.3578 0.0000
1.9386 1.1193 7.9429
ATOMIC_POSITIONS crystal
Au 0.7431 0.7431 0.7708
Au 0.2569 0.2569 0.2292
Er 0.0000 0.0000 0.0000
Na 0.5000 0.5000 0.5000
```

Output
Total magnetic moment   0.000 μB per cell
VASP energy   -14.345 eV per formula unit
Energy of formation from the pure elements   -477 meV/atom
Crystal system   trigonal

=====

Which value of total magnetic moment does entry 1 give?
0.000 μB per cell

=====

Which of these has the highest VASP energy?
Tl3TcPb

=====

Which formula does entry 2 have?
Tl3TcPb